Compound: Ce2Cu4Si3Ge
Source: the Alexandria database
Functional: PBE
Structure: optimized geometry

Calculated values
For the volume, the calculation gives 16.7 A^3/atom. The uncorrected formation energy is -510 meV/atom. The calculation puts the uncorrected energy at -54.2 eV per formula unit.

```
Ce2Cu4Si3Ge
1.0
-1.4424 -3.0168 -2.4408
3.4612 0.1773 -2.2646
4.1365 -6.6705 5.8001
Si Ge Cu Ce
3 1 4 2
Direct
0.0000 0.5000 0.1289
0.0000 0.0000 0.5000
0.5000 0.0000 0.8711
0.5000 0.5000 0.5000
0.5000 0.5000 0.0000
0.5000 0.0000 0.6319
0.0000 0.5000 0.3681
0.0000 0.0000 0.0000
0.0000 0.5000 0.7549
0.5000 0.0000 0.2451
```

Compound: Sr3ZrSi
Source: the Alexandria database
Functional: PBE
Structure: optimized geometry

Calculated values
For the volume, the calculation gives 41.2 A^3/atom. The energy above the most stable polymorph in this dataset is 626 meV per atom. The uncorrected formation energy is 1150 meV/atom. The calculation puts the uncorrected energy at -13.3 eV per formula unit.

```
Sr3ZrSi
1.0
5.9054 0.0000 0.0000
0.0000 5.9054 0.0000
0.0000 0.0000 5.9054
Sr Zr Si
3 1 1
Direct
0.5000 0.0000 0.0000
0.0000 0.0000 0.5000
0.0000 0.5000 0.0000
0.0000 0.0000 0.0000
0.5000 0.5000 0.5000
```

Compound: GeAs3Au
Source: the Alexandria database
Functional: PBE
Structure: optimized geometry

Calculated values
For the volume, the calculation gives 23.7 A^3/atom. The energy above the most stable polymorph in this dataset is 18 meV per atom. The calculation puts the energy relative to the elements at 921 meV per atom. The calculation puts the uncorrected energy at -17.2 eV per formula unit.

```
GeAs3Au
1.0
4.9098 0.0000 0.0000
0.0000 4.9098 0.0000
0.0000 0.0000 4.9098
As Au Ge
3 1 1
Direct
0.0000 0.0000 0.5000
0.5000 0.0000 0.0000
0.0000 0.5000 0.0000
0.5000 0.5000 0.5000
0.0000 0.0000 0.0000
```

Compound: Cu4NiSn
Source: the Alexandria database
Functional: PBE
Structure: optimized geometry

Calculated values
For the volume, the calculation gives 13.4 A^3/atom. The calculation puts the energy relative to the elements at 3 meV per atom. The calculation puts the uncorrected energy at -26.2 eV per formula unit.

```
Cu4NiSn
1.0
-2.5359 -2.1021 1.8986
5.9922 -3.9873 3.5889
0.0044 3.5104 3.8925
Ni Cu Sn
2 8 2
Direct
0.9172 0.0000 0.8772
0.4172 0.5000 0.1228
0.4171 0.1667 0.6407
0.4171 0.8333 0.6407
0.9171 0.6667 0.3593
0.9172 0.3272 0.8859
0.9171 0.3333 0.3593
0.9172 0.6728 0.8859
0.4172 0.1728 0.1141
0.4172 0.8272 0.1141
0.9172 0.0000 0.3768
0.4172 0.5000 0.6232
```

Compound: CeGa4CoCu2
Source: the Alexandria database
Functional: PBE
Structure: optimized geometry

Calculated values
For the volume, the calculation gives 16.4 A^3/atom. The calculation puts the energy relative to the elements at -270 meV per atom. The calculation puts the uncorrected energy at -35.5 eV per formula unit.

```
CeGa4CoCu2
1.0
-0.6611 3.6852 1.8085
-1.3754 0.1752 3.9200
7.5882 1.3478 4.8074
Ga Co Cu Ce
4 1 2 1
Direct
0.1337 0.1337 0.5988
0.5957 0.5957 0.2130
0.4043 0.4043 0.7870
0.8663 0.8663 0.4012
0.5000 0.5000 0.5000
0.2351 0.2351 0.2946
0.7649 0.7649 0.7054
0.0000 0.0000 0.0000
```

Compound: Li4ZrPa3S8
Source: the Alexandria database
Functional: PBE
Structure: optimized geometry

Calculated values
For the volume, the calculation gives 19.4 A^3/atom. The uncorrected formation energy is -1485 meV/atom. The calculation puts the uncorrected energy at -101.5 eV per formula unit.

```
Li4ZrPa3S8
1.0
-3.6999 0.8869 6.4211
3.4185 -6.3330 2.8446
4.2765 5.5211 -2.6363
S Li Pa Zr
8 4 3 1
Direct
0.7598 0.7564 0.0080
0.7566 0.7700 0.5132
0.2482 0.7564 0.0080
0.2482 0.7564 0.4964
0.2434 0.2300 0.4868
0.2402 0.2436 0.9920
0.7518 0.2436 0.5036
0.7518 0.2436 0.9920
0.5000 0.0000 0.5000
0.0000 0.0000 0.5000
0.0000 0.0000 0.0000
0.5000 0.0000 0.0000
0.5000 0.5000 0.0000
0.5000 0.5000 0.5000
0.0000 0.5000 0.5000
0.0000 0.5000 0.0000
```